(1)
This record from Alexandria describes an optimized crystal structure of HfMoPb3. The functional is PBE.

a b c (Å): 5.3410 5.3410 5.3410
angles (deg): 90.00 90.00 90.00
Last column: nearest neighbours and their distance in Å.
Element x y z (fractional)
Hf  0.0000  0.0000  0.0000  12 Pb 3.78
Mo  0.5000  0.5000  0.5000  6 Pb 2.67
Pb  0.0000  0.5000  0.5000  2 Mo 2.67
Pb  0.5000  0.0000  0.5000  2 Mo 2.67
Pb  0.5000  0.5000  0.0000  2 Mo 2.67

E above lowest polymorph, meV per atom: 0.0
Total moment, μB/f.u.: 0.0
Space-group type: No. 221

***

(2)
This record from Alexandria describes an optimized crystal structure of HfMoPb. The functional is PBE.

a b c (Å): 5.3161 5.3161 5.8311
angles (deg): 105.73 105.73 52.15
Last column: nearest neighbours and their distance in Å.
Element x y z (fractional)
Hf  0.0000  0.0000  0.0000  3 Mo 2.81-2.89, 5 Pb 2.93-3.08
Hf  0.7356  0.7356  0.4008  4 Mo 2.89-3.08, 5 Pb 3.05-3.12
Mo  0.4070  0.4070  0.7009  1 Mo 2.60, 2 Hf 2.89, 1 Pb 2.91
Mo  0.6917  0.6917  0.8704  1 Mo 2.60, 2 Hf 2.81-2.89
Pb  0.0783  0.0783  0.5508  5 Hf 2.93-3.12, 5 Mo 2.98-3.13
Pb  0.3377  0.3377  0.1536  4 Mo 2.91-3.06, 5 Hf 3.06-3.08

E above lowest polymorph, meV per atom: 44.1
Total moment, μB/f.u.: 0.0
Space-group type: No. 8

***

(3)
This record from Alexandria describes an optimized crystal structure of Hf3MoPb. The functional is PBE.

a b c (Å): 5.2013 5.2013 5.2013
angles (deg): 90.00 90.00 90.00
Last column: nearest neighbours and their distance in Å.
Element x y z (fractional)
Hf  0.0000  0.0000  0.5000  2 Pb 2.60
Hf  0.0000  0.5000  0.0000  2 Pb 2.60
Hf  0.5000  0.0000  0.0000  2 Pb 2.60
Mo  0.5000  0.5000  0.5000  12 Hf 3.68
Pb  0.0000  0.0000  0.0000  6 Hf 2.60

E above lowest polymorph, meV per atom: 1211.8
Total moment, μB/f.u.: 0.0
Space-group type: No. 221

***

(4)
This record from Alexandria describes an optimized crystal structure of HfMoPb. The functional is PBE.

a b c (Å): 3.1968 6.2353 7.3581
angles (deg): 110.63 94.08 104.59
Last column: nearest neighbours and their distance in Å.
Element x y z (fractional)
Hf  0.0000  0.0000  0.0000  4 Mo 2.83-3.03, 1 Pb 3.04
Hf  0.1547  0.5716  0.1179  2 Mo 2.66-2.68
Mo  0.3123  0.5787  0.7696  2 Mo 2.64-2.79, 2 Hf 2.66-2.83
Mo  0.6064  0.2295  0.7962  2 Mo 2.64-2.79, 3 Hf 2.68-2.93
Pb  0.6278  0.2491  0.3921  3 Mo 3.02-3.22, 2 Hf 3.04-3.23, 3 Pb 3.20
Pb  0.8664  0.8187  0.5246  4 Mo 2.97-3.18, 3 Hf 3.17-3.24, 3 Pb 3.20

E above lowest polymorph, meV per atom: 85.9
Total moment, μB/f.u.: 0.0
Space-group type: No. 1

***

(5)
This record from Alexandria describes an optimized crystal structure of Hf6MoPb2. The functional is PBE.

a b c (Å): 5.6766 7.6369 10.7790
angles (deg): 90.00 118.97 90.00
Last column: nearest neighbours and their distance in Å.
Element x y z (fractional)
Hf  0.0879  0.0501  0.2369  1 Mo 2.69, 1 Pb 2.99
Hf  0.0879  0.4499  0.7369  1 Mo 2.69, 1 Pb 2.99
Hf  0.1347  0.7137  0.0397  1 Mo 2.83, 2 Hf 2.96-3.15, 3 Pb 3.02-3.08
Hf  0.1347  0.7863  0.5397  1 Mo 2.83, 2 Hf 2.96-3.15, 3 Pb 3.02-3.08
Hf  0.4074  0.1625  0.0263  1 Mo 2.67, 2 Hf 2.86-2.96, 1 Pb 2.97
Hf  0.4074  0.3375  0.5263  1 Mo 2.67, 2 Hf 2.86-2.96, 1 Pb 2.97
Hf  0.5926  0.6625  0.4737  1 Mo 2.67, 2 Hf 2.86-2.96, 1 Pb 2.97
Hf  0.5926  0.8375  0.9737  1 Mo 2.67, 2 Hf 2.86-2.96, 1 Pb 2.97
Hf  0.8653  0.2137  0.4603  1 Mo 2.83, 2 Hf 2.96-3.15, 3 Pb 3.02-3.08
Hf  0.8653  0.2863  0.9603  1 Mo 2.83, 2 Hf 2.96-3.15, 3 Pb 3.02-3.08
Hf  0.9121  0.5501  0.2631  1 Mo 2.69, 1 Pb 2.99
Hf  0.9121  0.9499  0.7631  1 Mo 2.69, 1 Pb 2.99
Mo  0.5000  0.0000  0.5000  6 Hf 2.67-2.83
Mo  0.5000  0.5000  0.0000  6 Hf 2.67-2.83
Pb  0.3706  0.0978  0.7333  9 Hf 2.97-3.14, 1 Mo 3.04
Pb  0.3706  0.4022  0.2333  9 Hf 2.97-3.14, 1 Mo 3.04
Pb  0.6294  0.5978  0.7667  9 Hf 2.97-3.14, 1 Mo 3.04
Pb  0.6294  0.9022  0.2667  9 Hf 2.97-3.14, 1 Mo 3.04

Total moment, μB/f.u.: 0.0
Calculated total energy, eV/atom: -8.508
Space-group type: No. 14

***

(6)
This record from Alexandria describes an optimized crystal structure of HfMo4Pb2. The functional is PBE.

a b c (Å): 8.0128 8.0128 8.0128
angles (deg): 145.37 145.37 49.79
Last column: nearest neighbours and their distance in Å.
Element x y z (fractional)
Hf  0.0000  0.0000  0.0000  6 Mo 2.39-2.54
Mo  0.0000  0.5000  0.5000  2 Hf 2.39
Mo  0.1746  0.1746  0.0000  1 Hf 2.54, 1 Pb 2.79
Mo  0.5000  0.0000  0.5000  2 Hf 2.39
Mo  0.8254  0.8254  0.0000  1 Hf 2.54, 1 Pb 2.79
Pb  0.3665  0.3665  0.0000  5 Mo 2.79-3.08
Pb  0.6335  0.6335  0.0000  5 Mo 2.79-3.08

Total moment, μB/f.u.: 3.0
Calculated total energy, eV/atom: -7.045
Space-group type: No. 139

***

(7)
This record from Alexandria describes an optimized crystal structure of HfReMo2Pb. The functional is PBE.

a b c (Å): 4.7831 4.7831 5.1170
angles (deg): 90.00 90.00 90.00
Last column: nearest neighbours and their distance in Å.
Element x y z (fractional)
Hf  0.0000  0.0000  0.0000  4 Pb 3.38, 8 Mo 3.50
Re  0.5000  0.5000  0.5000  4 Mo 2.39, 2 Pb 2.56
Mo  0.0000  0.5000  0.5000  2 Re 2.39
Mo  0.5000  0.0000  0.5000  2 Re 2.39
Pb  0.5000  0.5000  0.0000  2 Re 2.56

Total moment, μB/f.u.: 0.0
Calculated total energy, eV/atom: -8.054
Space-group type: No. 123

***

(8)
This record from Alexandria describes an optimized crystal structure of HfSb2MoPb. The functional is PBE.

a b c (Å): 5.4709 5.4709 5.6024
angles (deg): 90.00 90.00 90.00
Last column: nearest neighbours and their distance in Å.
Element x y z (fractional)
Hf  0.0000  0.0000  0.0000  4 Sb 2.74, 2 Pb 2.80
Sb  0.0000  0.5000  0.0000  2 Hf 2.74
Sb  0.5000  0.0000  0.0000  2 Hf 2.74
Mo  0.5000  0.5000  0.5000  4 Pb 3.87, 8 Sb 3.92
Pb  0.0000  0.0000  0.5000  2 Hf 2.80

E_form (uncorrected), eV per atom: 1.072
Total moment, μB/f.u.: 4.6
Space-group type: No. 123

***

(9)
This record from Alexandria describes an optimized crystal structure of HfSbMo2Pb. The functional is PBE.

a b c (Å): 4.9736 4.9736 5.2692
angles (deg): 90.00 90.00 90.00
Last column: nearest neighbours and their distance in Å.
Element x y z (fractional)
Hf  0.0000  0.0000  0.0000  2 Sb 2.63
Sb  0.0000  0.0000  0.5000  4 Mo 2.49, 2 Hf 2.63
Mo  0.0000  0.5000  0.5000  2 Sb 2.49
Mo  0.5000  0.0000  0.5000  2 Sb 2.49
Pb  0.5000  0.5000  0.0000  4 Hf 3.52, 8 Mo 3.62

E_form (uncorrected), eV per atom: 1.451
Total moment, μB/f.u.: 2.3
Space-group type: No. 123

***

(10)
This record from Alexandria describes an optimized crystal structure of HfMoPd2. The functional is PBE.

a b c (Å): 4.5996 4.5996 4.5996
angles (deg): 60.00 60.00 60.00
Last column: nearest neighbours and their distance in Å.
Element x y z (fractional)
Hf  0.0000  0.0000  0.0000  8 Pd 2.82
Mo  0.5000  0.5000  0.5000  8 Pd 2.82
Pd  0.2500  0.2500  0.2500  4 Hf 2.82, 4 Mo 2.82
Pd  0.7500  0.7500  0.7500  4 Hf 2.82, 4 Mo 2.82

E above lowest polymorph, meV per atom: 0.0
Total moment, μB/f.u.: 2.0
Space-group type: No. 225

***

(11)
This record from Alexandria describes an optimized crystal structure of HfMo3Pd. The functional is PBE.

a b c (Å): 4.7367 4.7367 4.7367
angles (deg): 90.00 90.00 90.00
Last column: nearest neighbours and their distance in Å.
Element x y z (fractional)
Hf  0.0000  0.0000  0.0000  6 Mo 2.37
Mo  0.0000  0.0000  0.5000  2 Hf 2.37
Mo  0.0000  0.5000  0.0000  2 Hf 2.37
Mo  0.5000  0.0000  0.0000  2 Hf 2.37
Pd  0.5000  0.5000  0.5000  12 Mo 3.35

E above lowest polymorph, meV per atom: 373.2
Total moment, μB/f.u.: 0.0
Space-group type: No. 221

***

(12)
This record from Alexandria describes an optimized crystal structure of HfMo2Pd. The functional is PBE.

a b c (Å): 4.5675 4.5675 4.5675
angles (deg): 60.00 60.00 60.00
Last column: nearest neighbours and their distance in Å.
Element x y z (fractional)
Hf  0.0000  0.0000  0.0000  8 Mo 2.80
Mo  0.2500  0.2500  0.2500  4 Hf 2.80, 4 Pd 2.80
Mo  0.7500  0.7500  0.7500  4 Pd 2.80, 4 Hf 2.80
Pd  0.5000  0.5000  0.5000  8 Mo 2.80

E above lowest polymorph, meV per atom: 0.0
Total moment, μB/f.u.: 0.0
Space-group type: No. 225

***

(13)
This record from Alexandria describes an optimized crystal structure of Hf4MoPd3. The functional is PBE.

a b c (Å): 3.3272 3.3272 13.2650
angles (deg): 90.00 90.00 90.00
Last column: nearest neighbours and their distance in Å.
Element x y z (fractional)
Hf  0.0000  0.0000  0.1197  4 Mo 2.84, 4 Pd 2.93, 1 Hf 3.18
Hf  0.0000  0.0000  0.3756  8 Pd 2.87-2.88
Hf  0.0000  0.0000  0.6244  8 Pd 2.87-2.88
Hf  0.0000  0.0000  0.8803  4 Mo 2.84, 4 Pd 2.93, 1 Hf 3.18
Mo  0.5000  0.5000  0.0000  8 Hf 2.84
Pd  0.5000  0.5000  0.2507  8 Hf 2.88-2.93
Pd  0.5000  0.5000  0.5000  8 Hf 2.87
Pd  0.5000  0.5000  0.7493  8 Hf 2.88-2.93

Total moment, μB/f.u.: 0.0
Calculated total energy, eV/atom: -8.809
Space-group type: No. 123

***

(14)
This record from Alexandria describes an optimized crystal structure of HfMoPd3. The functional is PBE.

a b c (Å): 4.7421 4.7421 4.7421
angles (deg): 90.00 90.00 90.00
Last column: nearest neighbours and their distance in Å.
Element x y z (fractional)
Hf  0.0000  0.0000  0.0000  12 Pd 3.35
Mo  0.5000  0.5000  0.5000  6 Pd 2.37
Pd  0.0000  0.5000  0.5000  2 Mo 2.37
Pd  0.5000  0.0000  0.5000  2 Mo 2.37
Pd  0.5000  0.5000  0.0000  2 Mo 2.37

E above lowest polymorph, meV per atom: 0.0
Total moment, μB/f.u.: 0.0
Space-group type: No. 221

***

(15)
This record from Alexandria describes an optimized crystal structure of Hf3MoPd. The functional is PBE.

a b c (Å): 4.9346 4.9346 4.9346
angles (deg): 90.00 90.00 90.00
Last column: nearest neighbours and their distance in Å.
Element x y z (fractional)
Hf  0.0000  0.0000  0.5000  2 Pd 2.47
Hf  0.0000  0.5000  0.0000  2 Pd 2.47
Hf  0.5000  0.0000  0.0000  2 Pd 2.47
Mo  0.5000  0.5000  0.5000  12 Hf 3.49
Pd  0.0000  0.0000  0.0000  6 Hf 2.47

E above lowest polymorph, meV per atom: 125.3
Total moment, μB/f.u.: 2.0
Space-group type: No. 221

***

(16)
This record from Alexandria describes an optimized crystal structure of HfMo2Pd. The functional is PBE.

a b c (Å): 5.9257 5.9257 5.9257
angles (deg): 101.03 101.03 128.13
Last column: nearest neighbours and their distance in Å.
Element x y z (fractional)
Hf  0.0000  0.0000  0.0000  2 Pd 2.59, 4 Mo 2.87
Hf  0.7500  0.2500  0.5000  2 Pd 2.59, 4 Mo 2.87
Mo  0.1487  0.1250  0.5237  2 Mo 2.62, 2 Pd 2.62, 2 Hf 2.87
Mo  0.3750  0.8513  0.9763  2 Mo 2.62, 2 Pd 2.62, 2 Hf 2.87
Mo  0.6013  0.6250  0.4763  2 Mo 2.62, 2 Pd 2.62, 2 Hf 2.87
Mo  0.8750  0.3987  0.0237  2 Mo 2.62, 2 Pd 2.62, 2 Hf 2.87
Pd  0.2500  0.7500  0.5000  2 Hf 2.59, 4 Mo 2.62
Pd  0.5000  0.5000  0.0000  2 Hf 2.59, 4 Mo 2.62

E above lowest polymorph, meV per atom: 240.1
Total moment, μB/f.u.: 0.0
Space-group type: No. 122

***

(17)
This record from Alexandria describes an optimized crystal structure of Hf2MoPd2. The functional is PBE.

a b c (Å): 7.6339 7.6339 3.1229
angles (deg): 90.00 90.00 90.00
Last column: nearest neighbours and their distance in Å.
Element x y z (fractional)
Hf  0.1756  0.3244  0.0000  6 Pd 2.65-2.81
Hf  0.3244  0.8244  0.0000  6 Pd 2.65-2.81
Hf  0.6756  0.1756  0.0000  6 Pd 2.65-2.81
Hf  0.8244  0.6756  0.0000  6 Pd 2.65-2.81
Mo  0.0000  0.0000  0.5000  4 Pd 3.01, 2 Mo 3.12, 8 Hf 3.22
Mo  0.5000  0.5000  0.5000  4 Pd 3.01, 2 Mo 3.12, 8 Hf 3.22
Pd  0.1259  0.6259  0.5000  6 Hf 2.65-2.81, 1 Pd 2.72
Pd  0.3741  0.1259  0.5000  6 Hf 2.65-2.81, 1 Pd 2.72
Pd  0.6259  0.8741  0.5000  6 Hf 2.65-2.81, 1 Pd 2.72
Pd  0.8741  0.3741  0.5000  6 Hf 2.65-2.81, 1 Pd 2.72

Total moment, μB/f.u.: 0.0
Calculated total energy, eV/atom: -8.488
Space-group type: No. 127

***

(18)
This record from Alexandria describes an optimized crystal structure of Hf6MoPd. The functional is PBE.

a b c (Å): 8.1231 8.1231 8.1231
angles (deg): 146.58 146.58 47.99
Last column: nearest neighbours and their distance in Å.
Element x y z (fractional)
Hf  0.1109  0.6109  0.5000  2 Mo 2.86, 2 Pd 2.86, 4 Hf 3.07-3.17
Hf  0.2451  0.2451  0.0000  12 Hf 3.07-3.31
Hf  0.3891  0.8891  0.5000  2 Mo 2.86, 2 Pd 2.86, 4 Hf 3.07-3.17
Hf  0.6109  0.1109  0.5000  2 Mo 2.86, 2 Pd 2.86, 4 Hf 3.07-3.17
Hf  0.7549  0.7549  0.0000  12 Hf 3.07-3.31
Hf  0.8891  0.3891  0.5000  2 Mo 2.86, 2 Pd 2.86, 4 Hf 3.07-3.17
Mo  0.0000  0.0000  0.0000  8 Hf 2.86
Pd  0.5000  0.5000  0.0000  8 Hf 2.86

Total moment, μB/f.u.: 0.0
Calculated total energy, eV/atom: -9.635
Space-group type: No. 139

***

(19)
This record from Alexandria describes an optimized crystal structure of Hf7MoPd2. The functional is PBE.

a b c (Å): 7.0919 7.0919 7.0919
angles (deg): 60.00 60.00 60.00
Last column: nearest neighbours and their distance in Å.
Element x y z (fractional)
Hf  0.0000  0.0000  0.0000  6 Hf 2.55
Hf  0.2540  0.2540  0.7460  1 Mo 2.47, 1 Hf 2.55
Hf  0.2540  0.7460  0.2540  1 Mo 2.47, 1 Hf 2.55
Hf  0.2540  0.7460  0.7460  1 Mo 2.47, 1 Hf 2.55
Hf  0.7460  0.2540  0.2540  1 Mo 2.47, 1 Hf 2.55
Hf  0.7460  0.2540  0.7460  1 Mo 2.47, 1 Hf 2.55
Hf  0.7460  0.7460  0.2540  1 Mo 2.47, 1 Hf 2.55
Mo  0.5000  0.5000  0.5000  6 Hf 2.47
Pd  0.2500  0.2500  0.2500  12 Hf 3.55
Pd  0.7500  0.7500  0.7500  12 Hf 3.55

Total moment, μB/f.u.: 0.0
Calculated total energy, eV/atom: -8.050
Space-group type: No. 225

***

(20)
This record from Alexandria describes an optimized crystal structure of Hf3MoPd. The functional is PBE.

a b c (Å): 4.9604 4.9604 4.9604
angles (deg): 90.00 90.00 90.00
Last column: nearest neighbours and their distance in Å.
Element x y z (fractional)
Hf  0.0000  0.0000  0.5000  2 Mo 2.48
Hf  0.0000  0.5000  0.0000  2 Mo 2.48
Hf  0.5000  0.0000  0.0000  2 Mo 2.48
Mo  0.0000  0.0000  0.0000  6 Hf 2.48
Pd  0.5000  0.5000  0.5000  12 Hf 3.51

E above lowest polymorph, meV per atom: 0.0
Total moment, μB/f.u.: 0.0
Space-group type: No. 221